GGA-PBE Pu3AlH, relaxed; space-group type = Pm-3m, No. 221; VASP energy = -50.678 eV per cell
1.0
4.6973 0.0000 0.0000
0.0000 4.6973 0.0000
0.0000 0.0000 4.6973
Pu Al H
3 1 1
Direct
0.0000 0.0000 0.5000
0.0000 0.5000 0.0000
0.5000 0.0000 0.0000
0.5000 0.5000 0.5000
0.0000 0.0000 0.0000



GGA-PBE Pu3Al5H12, relaxed; space-group type = Ia-3d, No. 230; VASP energy = -406.376 eV per cell
1.0
-5.8857 5.8857 5.8857
5.8857 -5.8857 5.8857
5.8857 5.8857 -5.8857
Pu Al H
12 20 48
Direct
0.1250 0.2500 0.3750
0.1250 0.3750 0.7500
0.2500 0.3750 0.1250
0.2500 0.8750 0.6250
0.3750 0.1250 0.2500
0.3750 0.7500 0.1250
0.6250 0.2500 0.8750
0.6250 0.8750 0.7500
0.7500 0.1250 0.3750
0.7500 0.6250 0.8750
0.8750 0.6250 0.2500
0.8750 0.7500 0.6250
0.0000 0.0000 0.0000
0.0000 0.0000 0.5000
0.0000 0.5000 0.0000
0.0000 0.5000 0.5000
0.1250 0.7500 0.8750
0.1250 0.8750 0.2500
0.2500 0.1250 0.8750
0.2500 0.6250 0.3750
0.3750 0.2500 0.6250
0.3750 0.6250 0.7500
0.5000 0.0000 0.0000
0.5000 0.0000 0.5000
0.5000 0.5000 0.0000
0.5000 0.5000 0.5000
0.6250 0.3750 0.2500
0.6250 0.7500 0.3750
0.7500 0.3750 0.6250
0.7500 0.8750 0.1250
0.8750 0.1250 0.7500
0.8750 0.2500 0.1250
0.0391 0.2134 0.1284
0.0391 0.3257 0.9107
0.0850 0.7134 0.6743
0.0850 0.8716 0.4107
0.0893 0.6284 0.4150
0.0893 0.9609 0.6743
0.1284 0.0391 0.2134
0.1284 0.5893 0.9150
0.1743 0.2134 0.5850
0.1743 0.4609 0.5893
0.2134 0.1284 0.0391
0.2134 0.5850 0.1743
0.2866 0.3257 0.9150
0.2866 0.4609 0.3716
0.3257 0.9107 0.0391
0.3257 0.9150 0.2866
0.3716 0.2866 0.4609
0.3716 0.5850 0.9107
0.4107 0.0850 0.8716
0.4107 0.8257 0.5391
0.4150 0.0893 0.6284
0.4150 0.8257 0.7866
0.4609 0.3716 0.2866
0.4609 0.5893 0.1743
0.5391 0.4107 0.8257
0.5391 0.6284 0.7134
0.5850 0.1743 0.2134
0.5850 0.9107 0.3716
0.5893 0.1743 0.4609
0.5893 0.9150 0.1284
0.6284 0.4150 0.0893
0.6284 0.7134 0.5391
0.6743 0.0850 0.7134
0.6743 0.0893 0.9609
0.7134 0.5391 0.6284
0.7134 0.6743 0.0850
0.7866 0.4150 0.8257
0.7866 0.8716 0.9609
0.8257 0.5391 0.4107
0.8257 0.7866 0.4150
0.8716 0.4107 0.0850
0.8716 0.9609 0.7866
0.9107 0.0391 0.3257
0.9107 0.3716 0.5850
0.9150 0.1284 0.5893
0.9150 0.2866 0.3257
0.9609 0.6743 0.0893
0.9609 0.7866 0.8716



GGA-PBE PuAlH, relaxed; space-group type = C2/m, No. 12; VASP energy = -41.841 eV per cell
1.0
3.4738 -1.3599 0.0000
3.4738 1.3599 0.0000
-2.3235 0.0000 8.4857
Pu Al H
2 2 2
Direct
0.0954 0.0954 0.4119
0.9046 0.9046 0.5881
0.3065 0.3065 0.1416
0.6935 0.6935 0.8584
0.0577 0.0577 0.1661
0.9423 0.9423 0.8339



GGA-PBE Pu2AlH, relaxed; space-group type = P4/mmm, No. 123; VASP energy = -36.018 eV per cell
1.0
3.0538 0.0000 0.0000
0.0000 3.0538 0.0000
0.0000 0.0000 7.7826
Pu Al H
2 1 1
Direct
0.0000 0.0000 0.2068
0.0000 0.0000 0.7932
0.5000 0.5000 0.5000
0.5000 0.5000 0.0000



GGA-PBE RbAlH, relaxed; space-group type = C2, No. 5; VASP energy = -15.737 eV per cell
1.0
6.0388 -2.9172 0.0000
6.0388 2.9172 0.0000
-0.0371 0.0000 4.9062
Rb Al H
2 2 2
Direct
0.1438 0.1438 0.2523
0.8562 0.8562 0.7477
0.4632 0.4573 0.2492
0.5427 0.5368 0.7508
0.1525 0.7248 0.2489
0.2752 0.8475 0.7511



GGA-PBE RbAlH, relaxed; space-group type = P2_1/m, No. 11; VASP energy = -16.346 eV per cell
1.0
5.9969 0.0000 0.0000
0.0000 4.7735 0.0000
-2.8483 0.0000 6.0964
Rb Al H
2 2 2
Direct
0.1717 0.2500 0.3008
0.8283 0.7500 0.6992
0.4857 0.2500 0.9251
0.5143 0.7500 0.0749
0.4098 0.7500 0.2713
0.5902 0.2500 0.7287



| no. | density of states at the Fermi level (states/eV per atom) |
| --- | --- |
| 1 | 2.894 |
| 2 | 0.876 |
| 3 | 0.933 |
| 4 | 2.125 |
| 5 | 0.212 |
| 6 | 0.213 |